(1)
! ReTeAs PBE relaxed; values from VASP
&SYSTEM
  ibrav = 0, nat = 3, ntyp = 3
/
ATOMIC_SPECIES
Te 127.60 Te.upf
As 74.92 As.upf
Re 186.21 Re.upf
CELL_PARAMETERS angstrom
4.3967 0.0000 0.0000
-2.1983 3.8077 0.0000
0.0000 0.0000 3.5507
ATOMIC_POSITIONS crystal
Te 0.6667 0.3333 0.6210
As 0.0000 0.0000 0.1568
Re 0.3333 0.6667 0.2222
! Uncorrected formation energy = 0.670 eV/atom
! Symmetry = No. 156
! Fermi-level density of states = 2.029 states/eV/f.u.
! Polymorph energy (0 for the lowest one) = 1.30 eV/f.u.



(2)
! CsK12Rb3 PBE relaxed; values from VASP
&SYSTEM
  ibrav = 0, nat = 16, ntyp = 3
/
ATOMIC_SPECIES
Cs 132.91 Cs.upf
K 39.10 K.upf
Rb 85.47 Rb.upf
CELL_PARAMETERS angstrom
-3.3753 5.0399 -3.1194
-5.3537 -4.1328 -0.8844
-9.9801 7.8894 23.5457
ATOMIC_POSITIONS crystal
Cs 0.0000 0.0000 0.0000
K 0.5000 0.0000 0.1304
K 0.0000 0.5000 0.3765
K 0.5000 0.5000 0.0000
K 0.5000 0.5000 0.2537
K 0.0000 0.5000 0.6235
K 0.5000 0.0000 0.6235
Rb 0.0000 0.0000 0.2534
K 0.0000 0.5000 0.1304
K 0.0000 0.5000 0.8696
Rb 0.0000 0.0000 0.5000
Rb 0.0000 0.0000 0.7466
K 0.5000 0.0000 0.8696
K 0.5000 0.0000 0.3765
K 0.5000 0.5000 0.7463
K 0.5000 0.5000 0.5000
! Calculated formation energy = 0.005 eV per atom
! Symmetry = No. 123
! Fermi-level density of states = 11.639 states/eV/f.u.



(3)
! Be2Nb5Si PBE relaxed; values from VASP
&SYSTEM
  ibrav = 0, nat = 16, ntyp = 3
/
ATOMIC_SPECIES
Be 9.01 Be.upf
Nb 92.91 Nb.upf
Si 28.09 Si.upf
CELL_PARAMETERS angstrom
-5.7527 0.2759 -2.9632
-1.3130 -6.0227 1.9883
1.1387 4.9951 5.3330
ATOMIC_POSITIONS crystal
Be 0.6197 0.1197 0.0000
Nb 0.3146 0.8146 0.2897
Nb 0.5248 0.6854 0.7103
Nb 0.1854 0.0248 0.7103
Nb 0.5000 0.5000 0.0000
Nb 0.8146 0.9752 0.2897
Si 0.7500 0.7500 0.5000
Nb 0.0000 0.0000 0.0000
Nb 0.9752 0.4752 0.2897
Be 0.3803 0.8803 0.0000
Nb 0.6854 0.1854 0.7103
Nb 0.0248 0.5248 0.7103
Si 0.2500 0.2500 0.5000
Be 0.1197 0.3803 0.0000
Be 0.8803 0.6197 0.0000
Nb 0.4752 0.3146 0.2897
! Uncorrected formation energy = -0.354 eV/atom
! Symmetry = No. 140
! Fermi-level density of states = 6.626 states/eV/f.u.



Copy entry 1 word for word.
! ReTeAs PBE relaxed; values from VASP
&SYSTEM
  ibrav = 0, nat = 3, ntyp = 3
/
ATOMIC_SPECIES
Te 127.60 Te.upf
As 74.92 As.upf
Re 186.21 Re.upf
CELL_PARAMETERS angstrom
4.3967 0.0000 0.0000
-2.1983 3.8077 0.0000
0.0000 0.0000 3.5507
ATOMIC_POSITIONS crystal
Te 0.6667 0.3333 0.6210
As 0.0000 0.0000 0.1568
Re 0.3333 0.6667 0.2222
! Uncorrected formation energy = 0.670 eV/atom
! Symmetry = No. 156
! Fermi-level density of states = 2.029 states/eV/f.u.
! Polymorph energy (0 for the lowest one) = 1.30 eV/f.u.